# 1
A plane-wave DFT calculation with GGA-PBE was carried out for a relaxed YMn2Co crystal.

abc: 4.4911 4.4911 4.4911
angles: 60.00 60.00 60.00
Element x y z (fractional)
Y: 0.0000 0.0000 0.0000
Mn: 0.5000 0.5000 0.5000
Mn: 0.7500 0.7500 0.7500
Co: 0.2500 0.2500 0.2500

- E: -7.78 eV per atom
- Energy of formation from the pure elements: 4.56 kcal/mol of atoms
- Space-group type: F-43m, No. 216
- Energy above the lowest structure with this stoichiometry: 0.39 eV per formula unit

# 2
A plane-wave DFT calculation with GGA-PBE was carried out for a relaxed CdSnPb2 crystal.

abc: 7.9935 7.9935 7.9935
angles: 127.14 127.14 78.02
Element x y z (fractional)
Cd: 0.0000 0.0000 0.0000
Cd: 0.7500 0.2500 0.5000
Sn: 0.2500 0.7500 0.5000
Sn: 0.5000 0.5000 0.0000
Pb: 0.1253 0.6250 0.0003
Pb: 0.3750 0.3753 0.5003
Pb: 0.6247 0.1250 0.9997
Pb: 0.8750 0.8747 0.4997

- E: -2.81 eV per atom
- Energy of formation from the pure elements: 6.32 kcal/mol of atoms
- Space-group type: I-42d, No. 122
- Energy above the lowest structure with this stoichiometry: 0.89 eV per formula unit

# 3
A plane-wave DFT calculation with GGA-PBE was carried out for a relaxed La5Tb2PmHo crystal.

abc: 9.8055 9.8055 9.8055
angles: 121.91 121.91 86.72
Element x y z (fractional)
La: 0.0000 0.0000 0.0000
La: 0.0668 0.5668 0.9040
La: 0.1628 0.0668 0.5000
La: 0.3372 0.8372 0.9040
La: 0.4332 0.3372 0.5000
La: 0.5000 0.5000 0.0000
La: 0.5668 0.6628 0.5000
La: 0.6628 0.1628 0.0960
La: 0.8372 0.9332 0.5000
La: 0.9332 0.4332 0.0960
Tb: 0.1086 0.3914 0.5000
Tb: 0.3914 0.8914 0.2829
Tb: 0.6086 0.1086 0.7171
Tb: 0.8914 0.6086 0.5000
Pm: 0.2500 0.2500 0.0000
Pm: 0.7500 0.7500 0.0000
Ho: 0.2500 0.7500 0.5000
Ho: 0.7500 0.2500 0.5000

- E: -4.52 eV per atom
- Energy of formation from the pure elements: 6.57 kcal/mol of atoms
- Space-group type: I4/mcm, No. 140

# 4
A plane-wave DFT calculation with GGA-PBE was carried out for a relaxed La3In3Pd8 crystal.

abc: 8.6499 8.6499 8.6499
angles: 149.04 113.50 75.15
Element x y z (fractional)
La: 0.0000 0.0000 0.0000
La: 0.2909 0.2909 0.0000
La: 0.7091 0.7091 0.0000
In: 0.2678 0.5000 0.7678
In: 0.5000 0.0000 0.5000
In: 0.7322 0.5000 0.2322
Pd: 0.0352 0.6852 0.3500
Pd: 0.1594 0.8817 0.2776
Pd: 0.3351 0.6852 0.6500
Pd: 0.3959 0.1183 0.2776
Pd: 0.6041 0.8817 0.7224
Pd: 0.6649 0.3148 0.3500
Pd: 0.8406 0.1183 0.7224
Pd: 0.9648 0.3148 0.6500

- E: -5.27 eV per atom
- Energy of formation from the pure elements: -15.12 kcal/mol of atoms
- Space-group type: Immm, No. 71

# 5
A plane-wave DFT calculation with GGA-PBE was carried out for a relaxed CaCrOs3 crystal.

abc: 4.5485 4.5485 4.5485
angles: 90.00 90.00 90.00
Element x y z (fractional)
Ca: 0.0000 0.0000 0.0000
Cr: 0.5000 0.5000 0.5000
Os: 0.0000 0.0000 0.5000
Os: 0.0000 0.5000 0.0000
Os: 0.5000 0.0000 0.0000

- E: -5.66 eV per atom
- Energy of formation from the pure elements: 78.48 kcal/mol of atoms
- Space-group type: Pm-3m, No. 221
- Energy above the lowest structure with this stoichiometry: 11.52 eV per formula unit

# 6
A plane-wave DFT calculation with GGA-PBE was carried out for a relaxed LiTePb2 crystal.

abc: 6.8353 6.8353 6.8353
angles: 102.61 102.61 124.28
Element x y z (fractional)
Li: 0.0000 0.0000 0.0000
Li: 0.7500 0.2500 0.5000
Te: 0.2500 0.7500 0.5000
Te: 0.5000 0.5000 0.0000
Pb: 0.1089 0.6250 0.9839
Pb: 0.3750 0.3589 0.4839
Pb: 0.6411 0.1250 0.0161
Pb: 0.8750 0.8911 0.5161

- E: -3.24 eV per atom
- Formation energy from raw total energies: -0.49 eV per formula unit
- Space-group type: I-42d, No. 122

# 7
A plane-wave DFT calculation with GGA-PBE was carried out for a relaxed NaOsO6 crystal.

abc: 4.7219 4.7219 4.7219
angles: 93.45 93.45 93.45
Element x y z (fractional)
Na: 0.0000 0.0000 0.0000
Os: 0.5000 0.5000 0.5000
O: 0.2316 0.2316 0.6128
O: 0.2316 0.6128 0.2316
O: 0.3872 0.7684 0.7684
O: 0.6128 0.2316 0.2316
O: 0.7684 0.3872 0.7684
O: 0.7684 0.7684 0.3872

- E: -5.66 eV per atom
- Formation energy from raw total energies: -3.01 eV per formula unit
- Space-group type: R-3m, No. 166

# 8
A plane-wave DFT calculation with GGA-PBE was carried out for a relaxed LiNdTlCl5 crystal.

abc: 7.6164 7.6164 10.2383
angles: 103.68 103.68 107.43
Element x y z (fractional)
Li: 0.1903 0.8097 0.7500
Li: 0.8097 0.1903 0.2500
Nd: 0.5000 0.5000 0.0000
Nd: 0.5000 0.5000 0.5000
Tl: 0.1436 0.8564 0.2500
Tl: 0.8564 0.1436 0.7500
Cl: 0.1192 0.2522 0.4241
Cl: 0.1872 0.5841 0.8786
Cl: 0.2522 0.1192 0.9241
Cl: 0.4139 0.5861 0.2500
Cl: 0.4159 0.8128 0.6214
Cl: 0.5841 0.1872 0.3786
Cl: 0.5861 0.4139 0.7500
Cl: 0.7478 0.8808 0.0759
Cl: 0.8128 0.4159 0.1214
Cl: 0.8808 0.7478 0.5759

- E: -4.13 eV per atom
- Formation energy from raw total energies: -14.78 eV per formula unit
- Space-group type: C2/c, No. 15

# 9
A plane-wave DFT calculation with GGA-PBE was carried out for a relaxed MgAg4Br crystal.

abc: 5.6507 5.6507 5.6507
angles: 60.00 60.00 60.00
Element x y z (fractional)
Mg: 0.0000 0.0000 0.0000
Ag: 0.1240 0.6253 0.6253
Ag: 0.6253 0.1240 0.6253
Ag: 0.6253 0.6253 0.1240
Ag: 0.6253 0.6253 0.6253
Br: 0.2500 0.2500 0.2500

- E: -2.40 eV per atom
- Formation energy from raw total energies: 0.28 eV per formula unit
- Space-group type: F-43m, No. 216

# 10
A plane-wave DFT calculation with GGA-PBE was carried out for a relaxed Zr2BeTc crystal.

abc: 8.0634 8.0634 8.0634
angles: 23.15 23.15 23.15
Element x y z (fractional)
Zr: 0.2465 0.2465 0.2465
Zr: 0.7535 0.7535 0.7535
Be: 0.5000 0.5000 0.5000
Tc: 0.0000 0.0000 0.0000

- E: -7.71 eV per atom
- Energy of formation from the pure elements: 1.98 kcal/mol of atoms
- Space-group type: R-3m, No. 166

# 11
A plane-wave DFT calculation with GGA-PBE was carried out for a relaxed SmPa2Ni6 crystal.

abc: 7.1829 7.1829 3.4134
angles: 90.00 90.00 120.00
Element x y z (fractional)
Sm: 0.0000 0.0000 0.0000
Pa: 0.3333 0.6667 0.0000
Pa: 0.6667 0.3333 0.0000
Ni: 0.0000 0.3384 0.5000
Ni: 0.0000 0.6616 0.5000
Ni: 0.3384 0.0000 0.5000
Ni: 0.3384 0.3384 0.5000
Ni: 0.6616 0.0000 0.5000
Ni: 0.6616 0.6616 0.5000

- E: -6.80 eV per atom
- Energy of formation from the pure elements: -7.23 kcal/mol of atoms
- Space-group type: P6/mmm, No. 191

# 12
A plane-wave DFT calculation with GGA-PBE was carried out for a relaxed Er3USe6 crystal.

abc: 11.5353 4.0618 11.7819
angles: 90.00 108.98 90.00
Element x y z (fractional)
Er: 0.0668 0.2500 0.1656
Er: 0.1799 0.7500 0.5003
Er: 0.3421 0.2500 0.9171
Er: 0.6579 0.7500 0.0829
Er: 0.8201 0.2500 0.4997
Er: 0.9332 0.7500 0.8344
U: 0.4537 0.2500 0.3052
U: 0.5463 0.7500 0.6948
Se: 0.0192 0.2500 0.3838
Se: 0.1058 0.2500 0.9378
Se: 0.2435 0.7500 0.2755
Se: 0.3050 0.7500 0.7486
Se: 0.3854 0.2500 0.5356
Se: 0.4169 0.7500 0.0975
Se: 0.5831 0.2500 0.9025
Se: 0.6146 0.7500 0.4644
Se: 0.6950 0.2500 0.2514
Se: 0.7565 0.2500 0.7245
Se: 0.8942 0.7500 0.0622
Se: 0.9808 0.7500 0.6162

- E: -6.26 eV per atom
- Formation energy from raw total energies: -16.72 eV per formula unit
- Space-group type: P2_1/m, No. 11

The lowest E belongs to which entry?
YMn2Co

What is the E in the fourth record?
-5.27 eV per atom

Please write out number 8 again, unchanged.
A plane-wave DFT calculation with GGA-PBE was carried out for a relaxed LiNdTlCl5 crystal.

abc: 7.6164 7.6164 10.2383
angles: 103.68 103.68 107.43
Element x y z (fractional)
Li: 0.1903 0.8097 0.7500
Li: 0.8097 0.1903 0.2500
Nd: 0.5000 0.5000 0.0000
Nd: 0.5000 0.5000 0.5000
Tl: 0.1436 0.8564 0.2500
Tl: 0.8564 0.1436 0.7500
Cl: 0.1192 0.2522 0.4241
Cl: 0.1872 0.5841 0.8786
Cl: 0.2522 0.1192 0.9241
Cl: 0.4139 0.5861 0.2500
Cl: 0.4159 0.8128 0.6214
Cl: 0.5841 0.1872 0.3786
Cl: 0.5861 0.4139 0.7500
Cl: 0.7478 0.8808 0.0759
Cl: 0.8128 0.4159 0.1214
Cl: 0.8808 0.7478 0.5759

- E: -4.13 eV per atom
- Formation energy from raw total energies: -14.78 eV per formula unit
- Space-group type: C2/c, No. 15

Among the records above, which one has the lowest E?
YMn2Co